# NiSb2IO PBEsol relaxed
# - V: 20.69 Å³ per atom
# - ΔE_f (raw): -9 meV per atom
data_NiSb2IO
_chemical_formula_sum 'Ni1 Sb2 I1 O1'
_space_group_name_H-M_alt 'P 1'
_space_group_IT_number 1
_space_group_name_Hall 'P 1'
_cell_length_a 3.5097
_cell_length_b 5.4294
_cell_length_c 5.4294
_cell_angle_alpha 90.00
_cell_angle_beta 90.00
_cell_angle_gamma 90.00
loop_
_atom_site_label
_atom_site_type_symbol
_atom_site_fract_x
_atom_site_fract_y
_atom_site_fract_z
I1 I 0.5000 0.5000 0.5000
Sb1 Sb 0.0000 0.0000 0.5000
Sb2 Sb 0.0000 0.5000 0.0000
O1 O 0.5000 0.0000 0.0000
Ni1 Ni 0.0000 0.0000 0.0000